Record 1
This record from Alexandria describes a geometry-optimized HoErS structure. The functional is GGA-PBE.

Cell: 6.5347 6.5347 6.5347 Å, 33.35 33.35 33.35°
Positions (direct):
Ho (0.0000, 0.0000, 0.0000)
Er (0.5070, 0.5070, 0.5070)
S (0.7541, 0.7541, 0.7541)

## Properties
The uncorrected formation energy comes out at -1.267 eV per atom. The total magnetization comes out at 0.000 μB/cell. Its total energy is -5.6898 eV per atom. For the mass density, the calculation gives 8.1 Mg/m³. As for the symmetry: R3m, No. 160. The crystal system is trigonal. The value obtained for the density of states at the Fermi level is 1.669 states/eV/cell.

Record 2
This record from Alexandria describes a geometry-optimized HoEr4S5 structure. The functional is GGA-PBE.

Cell: 10.2345 10.2345 10.2345 Å, 158.19 149.06 38.18°
Positions (direct):
Ho (0.0000, 0.0000, 0.0000)
Er (0.2003, 0.2003, 0.0000)
Er (0.4001, 0.4001, 0.0000)
Er (0.5999, 0.5999, 0.0000)
Er (0.7997, 0.7997, 0.0000)
S (0.1007, 0.6007, 0.5000)
S (0.3002, 0.8002, 0.5000)
S (0.5000, 0.0000, 0.5000)
S (0.6998, 0.1998, 0.5000)
S (0.8993, 0.3993, 0.5000)

## Properties
The uncorrected formation energy comes out at -1.954 eV per atom. The total magnetization comes out at 0.000 μB/cell. Its total energy is -6.3006 eV per atom. For the mass density, the calculation gives 8.1 Mg/m³. As for the symmetry: Immm, No. 71. The crystal system is orthorhombic. The value obtained for the density of states at the Fermi level is 4.273 states/eV/cell.

Record 3
This record from Alexandria describes a geometry-optimized HoErS structure. The functional is GGA-PBE.

Cell: 3.7380 3.7380 6.2509 Å, 90.00 90.00 120.00°
Positions (direct):
Ho (0.0000, 0.0000, 0.0000)
Er (0.3333, 0.6667, 0.5324)
S (0.6667, 0.3333, 0.2677)

## Properties
The uncorrected formation energy comes out at -1.272 eV per atom. The total magnetization comes out at 0.003 μB/cell. Its total energy is -5.6951 eV per atom. For the mass density, the calculation gives 8.0 Mg/m³. As for the symmetry: P3m1, No. 156. The crystal system is trigonal. The value obtained for the density of states at the Fermi level is 2.652 states/eV/cell.

Record 4
This record from Alexandria describes a geometry-optimized Ho6Er2S3 structure. The functional is GGA-PBE.

Cell: 24.3449 24.3449 24.3449 Å, 8.74 8.74 8.74°
Positions (direct):
Ho (0.0693, 0.0693, 0.0693)
Ho (0.1858, 0.1858, 0.1858)
Ho (0.3570, 0.3570, 0.3570)
Ho (0.6430, 0.6430, 0.6430)
Ho (0.8142, 0.8142, 0.8142)
Ho (0.9307, 0.9307, 0.9307)
Er (0.4420, 0.4420, 0.4420)
Er (0.5580, 0.5580, 0.5580)
S (0.0000, 0.0000, 0.0000)
S (0.2873, 0.2873, 0.2873)
S (0.7127, 0.7127, 0.7127)

## Properties
The uncorrected formation energy comes out at -1.029 eV per atom. The total magnetization comes out at 0.002 μB/cell. Its total energy is -5.4811 eV per atom. For the mass density, the calculation gives 8.2 Mg/m³. As for the symmetry: R-3m, No. 166. The crystal system is trigonal. The value obtained for the density of states at the Fermi level is 10.166 states/eV/cell.

Record 5
This record from Alexandria describes a geometry-optimized HoErS2 structure. The functional is GGA-PBE.

Cell: 3.7247 3.7247 7.0050 Å, 90.00 90.00 120.00°
Positions (direct):
Ho (0.0000, 0.0000, 0.0000)
Er (0.0000, 0.0000, 0.5000)
S (0.3333, 0.6667, 0.7481)
S (0.6667, 0.3333, 0.2519)

## Properties
The uncorrected formation energy comes out at -1.858 eV per atom. The total magnetization comes out at 0.000 μB/cell. Its total energy is -6.2066 eV per atom. For the mass density, the calculation gives 7.8 Mg/m³. As for the symmetry: P-3m1, No. 164. The crystal system is trigonal. The value obtained for the density of states at the Fermi level is 1.439 states/eV/cell.

Record 6
This record from Alexandria describes a geometry-optimized HoErS2 structure. The functional is GGA-PBE.

Cell: 6.6868 6.6868 6.6868 Å, 33.74 33.74 33.74°
Positions (direct):
Ho (0.0000, 0.0000, 0.0000)
Er (0.5000, 0.5000, 0.5000)
S (0.2493, 0.2493, 0.2493)
S (0.7507, 0.7507, 0.7507)

## Properties
The uncorrected formation energy comes out at -1.966 eV per atom. The total magnetization comes out at 0.000 μB/cell. Its total energy is -6.3144 eV per atom. For the mass density, the calculation gives 8.0 Mg/m³. As for the symmetry: R-3m, No. 166. The crystal system is trigonal. The value obtained for the density of states at the Fermi level is 1.542 states/eV/cell.

Record 7
This record from Alexandria describes a geometry-optimized Ho5Er3S8 structure. The functional is GGA-PBE.

Cell: 7.7536 7.7536 7.7536 Å, 60.00 60.00 60.00°
Positions (direct):
Ho (0.0000, 0.0000, 0.0000)
Ho (0.0000, 0.5000, 0.5000)
Ho (0.5000, 0.0000, 0.5000)
Ho (0.5000, 0.5000, 0.0000)
Ho (0.5000, 0.5000, 0.5000)
Er (0.0000, 0.0000, 0.5000)
Er (0.0000, 0.5000, 0.0000)
Er (0.5000, 0.0000, 0.0000)
S (0.2493, 0.2493, 0.2493)
S (0.2486, 0.7500, 0.7500)
S (0.2500, 0.2500, 0.7514)
S (0.2500, 0.7514, 0.2500)
S (0.7500, 0.2486, 0.7500)
S (0.7500, 0.7500, 0.2486)
S (0.7514, 0.2500, 0.2500)
S (0.7507, 0.7507, 0.7507)

## Properties
The uncorrected formation energy comes out at -1.962 eV per atom. The total magnetization comes out at 0.000 μB/cell. Its total energy is -6.3119 eV per atom. For the mass density, the calculation gives 8.0 Mg/m³. As for the symmetry: R-3m, No. 166. The crystal system is trigonal. The value obtained for the density of states at the Fermi level is 8.950 states/eV/cell.

Record 8
This record from Alexandria describes a geometry-optimized HoEr6S8 structure. The functional is GGA-PBE.

Cell: 7.7157 7.7157 7.7157 Å, 60.00 60.00 60.00°
Positions (direct):
Ho (0.0000, 0.0000, 0.0000)
Er (0.0000, 0.0000, 0.5000)
Er (0.0000, 0.5000, 0.0000)
Er (0.0000, 0.5000, 0.5000)
Er (0.5000, 0.0000, 0.0000)
Er (0.5000, 0.0000, 0.5000)
Er (0.5000, 0.5000, 0.0000)
S (0.2500, 0.2500, 0.2500)
S (0.2519, 0.2519, 0.7481)
S (0.2519, 0.7481, 0.2519)
S (0.2519, 0.7481, 0.7481)
S (0.7481, 0.2519, 0.2519)
S (0.7481, 0.2519, 0.7481)
S (0.7481, 0.7481, 0.2519)
S (0.7500, 0.7500, 0.7500)

## Properties
The uncorrected formation energy comes out at -2.029 eV per atom. The total magnetization comes out at 0.000 μB/cell. Its total energy is -6.3608 eV per atom. For the mass density, the calculation gives 7.3 Mg/m³. As for the symmetry: Fm-3m, No. 225. The crystal system is cubic. The value obtained for the density of states at the Fermi level is 5.847 states/eV/cell.

Record 9
This record from Alexandria describes a geometry-optimized Ho4ErS5 structure. The functional is GGA-PBE.

Cell: 10.2678 10.2678 10.2678 Å, 158.20 149.06 38.17°
Positions (direct):
Ho (0.1001, 0.1001, 0.0000)
Ho (0.3002, 0.3002, 0.0000)
Ho (0.6998, 0.6998, 0.0000)
Ho (0.8999, 0.8999, 0.0000)
Er (0.5000, 0.5000, 0.0000)
S (0.0000, 0.5000, 0.5000)
S (0.2001, 0.7001, 0.5000)
S (0.4007, 0.9007, 0.5000)
S (0.5993, 0.0993, 0.5000)
S (0.7999, 0.2999, 0.5000)

## Properties
The uncorrected formation energy comes out at -1.966 eV per atom. The total magnetization comes out at 0.000 μB/cell. Its total energy is -6.3172 eV per atom. For the mass density, the calculation gives 7.9 Mg/m³. As for the symmetry: Immm, No. 71. The crystal system is orthorhombic. The value obtained for the density of states at the Fermi level is 4.323 states/eV/cell.

Record 10
This record from Alexandria describes a geometry-optimized HoEr2S4 structure. The functional is GGA-PBE.

Cell: 7.7258 7.7258 7.7258 Å, 119.50 119.39 90.96°
Positions (direct):
Ho (0.0000, 0.0000, 0.0000)
Ho (0.5000, 0.0000, 0.5000)
Er (0.0000, 0.5000, 0.5000)
Er (0.5000, 0.0000, 0.0000)
Er (0.5000, 0.5000, 0.0000)
Er (0.5000, 0.5000, 0.5000)
S (0.2481, 0.2491, 0.5010)
S (0.2481, 0.7470, 0.9990)
S (0.2579, 0.7495, 0.5085)
S (0.2590, 0.2505, 0.0085)
S (0.7410, 0.7495, 0.9915)
S (0.7421, 0.2505, 0.4915)
S (0.7519, 0.2530, 0.0010)
S (0.7519, 0.7509, 0.4990)

## Properties
The uncorrected formation energy comes out at -2.071 eV per atom. The total magnetization comes out at 0.000 μB/cell. Its total energy is -6.3867 eV per atom. For the mass density, the calculation gives 6.3 Mg/m³. As for the symmetry: Imma, No. 74. The crystal system is orthorhombic. The value obtained for the density of states at the Fermi level is 3.488 states/eV/cell.

- Which value of density of states at the Fermi level does entry 6 give?
  1.542 states/eV/cell

- mass density of number 2 (HoEr4S5)?
  8.1 Mg/m³

- Which of these has the highest total energy?
  Ho6Er2S3

- Which value of uncorrected formation energy does entry 8 give?
  -2.029 eV per atom